Record 1
First-principles (PBE) data for a relaxed structure of TlAgSn, as listed in Alexandria via LeMat-Bulk.

a b c (Å): 3.7118 6.0637 7.3952
angles (deg): 79.02 75.13 72.20
Closest atoms and distances in Å follow each position.
Positions (direct):
Ag 0.8414 0.4070 0.6470  1 Ag 2.90, 4 Tl 3.00-3.09, 3 Sn 3.00-3.07
Sn 0.1183 0.8254 0.6738  4 Ag 2.98-3.07
Ag 0.5487 0.6413 0.9839  1 Ag 2.90, 4 Sn 2.91-2.99, 1 Tl 3.10
Tl 0.5695 0.2400 0.3624  3 Ag 3.00-3.34, 2 Sn 3.10-3.31
Tl 0.2911 0.1808 0.9628  5 Ag 3.08-3.26, 1 Tl 3.43
Sn 0.8539 0.7239 0.2822  3 Ag 2.91-3.00, 1 Tl 3.10

Calculated values
Space group ... P1 (1)
Polymorph energy (0 for the lowest one) ... 44 meV/atom
DFT total energy ... -18.0 eV per cell
Energy relative to the elements ... 22 kJ/mol of formula units

---

Record 2
First-principles (PBE) data for a relaxed structure of Mn2BeTlB, as listed in Alexandria via LeMat-Bulk.

a b c (Å): 4.0005 4.5080 4.0005
angles (deg): 90.00 90.00 90.00
Closest atoms and distances in Å follow each position.
Positions (direct):
Mn 0.5000 0.0000 0.0000  2 B 2.00
Tl 0.0000 0.5000 0.0000  2 B 2.25
Mn 0.0000 0.0000 0.5000  2 B 2.00
Be 0.5000 0.5000 0.5000  4 Tl 2.83, 8 Mn 3.01
B 0.0000 0.0000 0.0000  4 Mn 2.00

Calculated values
Space group ... P4/mmm (123)
DFT total energy ... -27.6 eV per cell
Energy relative to the elements ... 339 kJ/mol of formula units

---

Record 3
First-principles (PBE) data for a relaxed structure of Tc2AsO, as listed in Alexandria via LeMat-Bulk.

a b c (Å): 4.1648 4.1648 4.1648
angles (deg): 60.00 60.00 60.00
Closest atoms and distances in Å follow each position.
Positions (direct):
O 0.0000 0.0000 0.0000  8 Tc 2.55
Tc 0.2500 0.2500 0.2500  4 O 2.55, 4 As 2.55
Tc 0.7500 0.7500 0.7500  4 O 2.55, 4 As 2.55
As 0.5000 0.5000 0.5000  8 Tc 2.55

Calculated values
Space group ... Fm-3m (225)
Polymorph energy (0 for the lowest one) ... 87 meV/atom
DFT total energy ... -30.0 eV per cell
Raw formation energy ... 86 meV per atom

---

Record 4
First-principles (PBE) data for a relaxed structure of Sm5Tm4Sc2, as listed in Alexandria via LeMat-Bulk.

a b c (Å): 6.7728 6.7728 9.6472
angles (deg): 67.96 67.96 60.64
Closest atoms and distances in Å follow each position.
Positions (direct):
Sm 0.3677 0.8421 0.1740  4 Sm 3.24-3.59, 3 Tm 3.36-3.45, 3 Sc 3.39-3.45
Sm 0.8421 0.3677 0.1740  4 Sm 3.24-3.59, 3 Tm 3.36-3.45, 3 Sc 3.39-3.45
Sm 0.0000 0.0000 0.5000  4 Sm 3.36
Tm 0.3526 0.3526 0.1604  2 Tm 3.34-3.49, 6 Sm 3.36-3.45, 2 Sc 3.43
Sm 0.6323 0.1579 0.8260  4 Sm 3.24-3.59, 3 Tm 3.36-3.45, 3 Sc 3.39-3.45
Tm 0.3449 0.3449 0.5108  1 Sc 3.19, 2 Tm 3.34-3.54
Sc 0.1287 0.1287 0.8568  1 Sc 3.08, 3 Tm 3.19-3.43, 4 Sm 3.39-3.41
Tm 0.6551 0.6551 0.4892  1 Sc 3.19, 2 Tm 3.34-3.54
Tm 0.6474 0.6474 0.8396  2 Tm 3.34-3.49, 6 Sm 3.36-3.45, 2 Sc 3.43
Sm 0.1579 0.6323 0.8260  4 Sm 3.24-3.59, 3 Tm 3.36-3.45, 3 Sc 3.39-3.45
Sc 0.8713 0.8713 0.1432  1 Sc 3.08, 3 Tm 3.19-3.43, 4 Sm 3.39-3.41

Calculated values
Space group ... C2/m (12)
Polymorph energy (0 for the lowest one) ... 24 meV/atom
DFT total energy ... -52.1 eV per cell
Energy relative to the elements ... 195 kJ/mol of formula units

---

Record 5
First-principles (PBE) data for a relaxed structure of Nd6Y5Er, as listed in Alexandria via LeMat-Bulk.

a b c (Å): 11.8775 6.2912 6.2900
angles (deg): 59.99 84.95 79.86
Closest atoms and distances in Å follow each position.
Positions (direct):
Y 0.5000 0.5000 0.0000  6 Nd 3.60, 6 Y 3.63
Nd 0.7507 0.0825 0.3323  1 Er 3.59, 5 Y 3.59-3.61, 6 Nd 3.62-3.64
Y 0.0000 0.6667 0.6666  6 Nd 3.59, 3 Er 3.63, 3 Y 3.63
Nd 0.7507 0.4148 0.6677  1 Er 3.59, 5 Y 3.59-3.61, 6 Nd 3.62-3.64
Nd 0.2493 0.2498 0.0000  1 Er 3.59, 5 Y 3.59-3.60, 6 Nd 3.62-3.64
Y 0.5000 0.8334 0.3332  6 Nd 3.60-3.61, 6 Y 3.63
Nd 0.2493 0.5852 0.3323  1 Er 3.59, 5 Y 3.59-3.61, 6 Nd 3.62-3.64
Y 0.0000 0.3333 0.3334  6 Nd 3.59, 3 Er 3.63, 3 Y 3.63
Y 0.5000 0.1666 0.6668  6 Nd 3.60-3.61, 6 Y 3.63
Nd 0.2493 0.9175 0.6677  1 Er 3.59, 5 Y 3.59-3.61, 6 Nd 3.62-3.64
Nd 0.7507 0.7502 0.0000  1 Er 3.59, 5 Y 3.59-3.60, 6 Nd 3.62-3.64
Er 0.0000 0.0000 0.0000  6 Nd 3.59, 6 Y 3.63

Calculated values
Space group ... C2/m (12)
Polymorph energy (0 for the lowest one) ... 0 meV/atom
DFT total energy ... -65.4 eV per cell
Energy relative to the elements ... 10 kJ/mol of formula units

---

Record 6
First-principles (PBE) data for a relaxed structure of NdGdLuZn, as listed in Alexandria via LeMat-Bulk.

a b c (Å): 5.3696 5.3696 5.3696
angles (deg): 60.00 60.00 60.00
Closest atoms and distances in Å follow each position.
Positions (direct):
Nd 0.2500 0.2500 0.2500  4 Zn 3.29, 4 Lu 3.29
Lu 0.5000 0.5000 0.5000  4 Gd 3.29, 4 Nd 3.29
Gd 0.7500 0.7500 0.7500  4 Lu 3.29, 4 Zn 3.29
Zn 0.0000 0.0000 0.0000  4 Gd 3.29, 4 Nd 3.29

Calculated values
Space group ... F-43m (216)
DFT total energy ... -24.6 eV per cell
Energy relative to the elements ... 1 kJ/mol of formula units

---

Record 7
First-principles (PBE) data for a relaxed structure of Ce4Ge, as listed in Alexandria via LeMat-Bulk.

a b c (Å): 5.6148 5.6148 5.6148
angles (deg): 90.00 90.00 90.00
Closest atoms and distances in Å follow each position.
Positions (direct):
Ce 0.5000 0.0000 0.5000  2 Ge 2.81
Ge 0.5000 0.5000 0.5000  6 Ce 2.81
Ce 0.5000 0.5000 0.0000  2 Ge 2.81
Ce 0.0000 0.5000 0.5000  2 Ge 2.81
Ce 0.0000 0.0000 0.0000  12 Ce 3.97

Calculated values
Space group ... Pm-3m (221)
Polymorph energy (0 for the lowest one) ... 277 meV/atom
DFT total energy ... -27.4 eV per cell
Energy relative to the elements ... 94 kJ/mol of formula units

---

Record 8
First-principles (PBE) data for a relaxed structure of Sn2PdAu, as listed in Alexandria via LeMat-Bulk.

a b c (Å): 4.2171 4.2171 5.7048
angles (deg): 90.00 90.00 120.00
Closest atoms and distances in Å follow each position.
Positions (direct):
Au 0.0000 0.0000 0.5000  2 Pd 2.85, 6 Sn 2.87
Pd 0.0000 0.0000 0.0000  6 Sn 2.78, 2 Au 2.85
Sn 0.3333 0.6667 0.2339  3 Pd 2.78, 3 Au 2.87
Sn 0.6667 0.3333 0.7661  3 Pd 2.78, 3 Au 2.87

Calculated values
Space group ... P-3m1 (164)
Polymorph energy (0 for the lowest one) ... 0 meV/atom
DFT total energy ... -17.9 eV per cell
Energy relative to the elements ... -136 kJ/mol of formula units

---

Record 9
First-principles (PBE) data for a relaxed structure of AlCuSb, as listed in Alexandria via LeMat-Bulk.

a b c (Å): 4.1356 5.0241 6.4278
angles (deg): 112.79 101.79 94.09
Closest atoms and distances in Å follow each position.
Positions (direct):
Sb 0.2490 0.6484 0.8641  3 Cu 2.63-2.73, 2 Al 2.79-2.82
Al 0.1338 0.9244 0.3054  3 Cu 2.51-2.64, 1 Sb 2.79
Al 0.6991 0.7544 0.5834  4 Cu 2.47-2.66
Cu 0.7338 0.2253 0.5445  4 Al 2.47-2.64, 2 Cu 2.58-2.68, 2 Sb 2.67-2.73
Sb 0.7727 0.3251 0.1705  2 Cu 2.67-2.80, 3 Al 2.79-2.98
Cu 0.2989 0.0916 0.7399  3 Al 2.51-2.66, 2 Cu 2.58-2.68, 3 Sb 2.63-2.80

Calculated values
Space group ... P1 (1)
Polymorph energy (0 for the lowest one) ... 2 meV/atom
DFT total energy ... -23.9 eV per cell
Raw formation energy ... 7 meV per atom

---

Record 10
First-principles (PBE) data for a relaxed structure of Ti12Si6Tc, as listed in Alexandria via LeMat-Bulk.

a b c (Å): 7.1935 7.1935 7.1935
angles (deg): 106.60 106.60 106.60
Closest atoms and distances in Å follow each position.
Positions (direct):
Ti 0.9746 0.6815 0.5531  5 Si 2.63-2.86, 4 Ti 2.66-2.86
Si 0.7569 0.3479 0.6514  8 Ti 2.57-2.86, 2 Si 2.82
Si 0.6521 0.3486 0.2431  8 Ti 2.57-2.86, 2 Si 2.82
Ti 0.5531 0.9746 0.6815  5 Si 2.63-2.86, 4 Ti 2.66-2.86
Ti 0.9170 0.3310 0.0553  3 Si 2.57-2.86, 1 Tc 2.57, 4 Ti 2.70-2.86
Ti 0.9447 0.0830 0.6690  3 Si 2.57-2.86, 1 Tc 2.57, 4 Ti 2.70-2.86
Si 0.3479 0.6514 0.7569  8 Ti 2.57-2.86, 2 Si 2.82
Ti 0.6815 0.5531 0.9746  5 Si 2.63-2.86, 4 Ti 2.66-2.86
Ti 0.0553 0.9170 0.3310  3 Si 2.57-2.86, 1 Tc 2.57, 4 Ti 2.70-2.86
Si 0.3486 0.2431 0.6521  8 Ti 2.57-2.86, 2 Si 2.82
Ti 0.3310 0.0553 0.9170  3 Si 2.57-2.86, 1 Tc 2.57, 4 Ti 2.70-2.86
Si 0.6514 0.7569 0.3479  8 Ti 2.57-2.86, 2 Si 2.82
Ti 0.6690 0.9447 0.0830  3 Si 2.57-2.86, 1 Tc 2.57, 4 Ti 2.70-2.86
Ti 0.0830 0.6690 0.9447  3 Si 2.57-2.86, 1 Tc 2.57, 4 Ti 2.70-2.86
Si 0.2431 0.6521 0.3486  8 Ti 2.57-2.86, 2 Si 2.82
Ti 0.4469 0.0254 0.3185  5 Si 2.63-2.86, 4 Ti 2.66-2.86
Tc 0.0000 0.0000 0.0000  6 Ti 2.57
Ti 0.0254 0.3185 0.4469  5 Si 2.63-2.86, 4 Ti 2.66-2.86
Ti 0.3185 0.4469 0.0254  5 Si 2.63-2.86, 4 Ti 2.66-2.86

Calculated values
Space group ... R-3 (148)
DFT total energy ... -142.5 eV per cell
Raw formation energy ... -257 meV per atom

---

Record 11
First-principles (PBE) data for a relaxed structure of Rb2MgSn2, as listed in Alexandria via LeMat-Bulk.

a b c (Å): 4.2796 4.2796 12.6313
angles (deg): 80.25 80.25 90.00
Closest atoms and distances in Å follow each position.
Positions (direct):
Sn 0.2500 0.7500 0.5000  4 Sn 3.03
Rb 0.6149 0.6149 0.7701  4 Sn 3.94, 4 Mg 4.14, 4 Rb 4.28
Sn 0.7500 0.2500 0.5000  4 Sn 3.03
Rb 0.3851 0.3851 0.2299  4 Sn 3.94, 4 Mg 4.14, 4 Rb 4.28
Mg 0.0000 0.0000 0.0000  8 Rb 4.14, 4 Mg 4.28

Calculated values
Space group ... I4/mmm (139)
Polymorph energy (0 for the lowest one) ... 6 meV/atom
DFT total energy ... -10.9 eV per cell
Energy relative to the elements ... 60 kJ/mol of formula units

---

Record 12
First-principles (PBE) data for a relaxed structure of PmTlCuRh, as listed in Alexandria via LeMat-Bulk.

a b c (Å): 4.8395 4.8395 4.8395
angles (deg): 60.00 60.00 60.00
Closest atoms and distances in Å follow each position.
Positions (direct):
Tl 0.0000 0.0000 0.0000  4 Cu 2.96, 4 Rh 2.96
Rh 0.7500 0.7500 0.7500  4 Pm 2.96, 4 Tl 2.96
Pm 0.5000 0.5000 0.5000  4 Rh 2.96, 4 Cu 2.96
Cu 0.2500 0.2500 0.2500  4 Tl 2.96, 4 Pm 2.96

Calculated values
Space group ... F-43m (216)
DFT total energy ... -19.5 eV per cell
Energy relative to the elements ... -88 kJ/mol of formula units